Model i:
Here is a relaxed structure of SmErRhAu from the Alexandria database. Energies are from PBE.

Summary:
The value obtained for the volume is 22.200 A^3/atom. The symmetry is F-43m (216). For the density of states at the Fermi level, the calculation gives 0.986 states/eV per atom. As for the magnetization: 0.00 μB per atom.

Unit cell a=5.0078 b=5.0078 c=5.0078 alpha=60.00 beta=60.00 gamma=60.00
Element x y z (fractional)
Rh (0.5000, 0.5000, 0.5000)
Au (0.0000, 0.0000, 0.0000)
Sm (0.7500, 0.7500, 0.7500)
Er (0.2500, 0.2500, 0.2500)


Model ii:
Here is a relaxed structure of SmErRhAu from the Alexandria database. Energies are from PBE.

Summary:
The value obtained for the volume is 22.977 A^3/atom. The symmetry is Amm2 (38). For the density of states at the Fermi level, the calculation gives 0.684 states/eV per atom. As for the magnetization: 0.00 μB per atom.

Unit cell a=3.7988 b=4.6044 c=5.5872 alpha=90.00 beta=109.87 gamma=90.00
Element x y z (fractional)
Sm (0.1449, 0.0000, 0.2898)
Er (0.8644, 0.5000, 0.7288)
Rh (0.4087, 0.0000, 0.8175)
Au (0.5819, 0.5000, 0.1639)


Which is most stable? The ranking, best first, is model ii, model i.


Model i:
Here is a relaxed structure of ErTmRhAu from the Alexandria database. Energies are from PBE.

Summary:
The value obtained for the volume is 21.062 A^3/atom. The symmetry is F-43m (216). For the density of states at the Fermi level, the calculation gives 0.688 states/eV per atom. As for the magnetization: 0.00 μB per atom.

Unit cell a=4.9207 b=4.9207 c=4.9207 alpha=60.00 beta=60.00 gamma=60.00
Element x y z (fractional)
Rh (0.5000, 0.5000, 0.5000)
Tm (0.2500, 0.2500, 0.2500)
Au (0.0000, 0.0000, 0.0000)
Er (0.7500, 0.7500, 0.7500)


Model ii:
Here is a relaxed structure of ErTmRhAu from the Alexandria database. Energies are from PBE.

Summary:
The value obtained for the volume is 21.011 A^3/atom. The symmetry is P4mm (99). For the density of states at the Fermi level, the calculation gives 1.183 states/eV per atom. As for the magnetization: 0.00 μB per atom.

Unit cell a=3.4907 b=3.4907 c=6.8974 alpha=90.00 beta=90.00 gamma=90.00
Element x y z (fractional)
Er (0.5000, 0.5000, 0.1201)
Tm (0.5000, 0.5000, 0.5943)
Rh (0.0000, 0.0000, 0.3588)
Au (0.0000, 0.0000, 0.8548)


Which is most stable? The ranking, best first, is model ii, model i.


Model i:
Here is a relaxed structure of Er8Ru2Au from the Alexandria database. Energies are from PBE.

Summary:
The value obtained for the volume is 25.225 A^3/atom. The symmetry is C2/m (12). For the density of states at the Fermi level, the calculation gives 1.010 states/eV per atom. As for the magnetization: 0.00 μB per atom.

Unit cell a=4.8432 b=6.9162 c=9.0371 alpha=107.25 beta=105.54 gamma=90.00
Element x y z (fractional)
Er (0.4026, 0.5334, 0.8053)
Er (0.6724, 0.9641, 0.3447)
Er (0.7965, 0.6831, 0.5931)
Er (0.9657, 0.2230, 0.9315)
Er (0.2035, 0.3169, 0.4069)
Er (0.3276, 0.0359, 0.6553)
Er (0.5974, 0.4666, 0.1947)
Er (0.0343, 0.7770, 0.0685)
Ru (0.8134, 0.2967, 0.6269)
Ru (0.1866, 0.7033, 0.3731)
Au (0.5000, 0.0000, 0.0000)


Model ii:
Here is a relaxed structure of Er8Ru2Au from the Alexandria database. Energies are from PBE.

Summary:
The value obtained for the volume is 26.336 A^3/atom. The symmetry is Cm (8). For the density of states at the Fermi level, the calculation gives 0.888 states/eV per atom. As for the magnetization: 0.00 μB per atom.

Unit cell a=5.6321 b=7.5992 c=7.5992 alpha=111.91 beta=99.01 gamma=99.01
Element x y z (fractional)
Er (0.5815, 0.3396, 0.0751)
Er (0.5815, 0.0751, 0.3396)
Er (0.1821, 0.3737, 0.3737)
Er (0.9921, 0.2362, 0.7715)
Er (0.9921, 0.7715, 0.2362)
Er (0.7968, 0.6257, 0.6257)
Er (0.3982, 0.9337, 0.6709)
Er (0.3982, 0.6709, 0.9337)
Ru (0.4888, 0.6924, 0.3160)
Ru (0.4888, 0.3160, 0.6924)
Au (0.0995, 0.9991, 0.9991)


Which is most stable? The ranking, best first, is model i, model ii.


Model i:
Here is a relaxed structure of TbErRuAu from the Alexandria database. Energies are from PBE.

Summary:
The value obtained for the volume is 21.373 A^3/atom. The symmetry is P4mm (99). For the density of states at the Fermi level, the calculation gives 0.632 states/eV per atom. As for the magnetization: 0.00 μB per atom.

Unit cell a=3.4290 b=3.4290 c=7.2711 alpha=90.00 beta=90.00 gamma=90.00
Element x y z (fractional)
Tb (0.0000, 0.0000, 0.8363)
Er (0.0000, 0.0000, 0.3760)
Ru (0.5000, 0.5000, 0.6023)
Au (0.5000, 0.5000, 0.1134)


Model ii:
Here is a relaxed structure of TbErRuAu from the Alexandria database. Energies are from PBE.

Summary:
The value obtained for the volume is 21.295 A^3/atom. The symmetry is F-43m (216). For the density of states at the Fermi level, the calculation gives 0.524 states/eV per atom. As for the magnetization: 0.00 μB per atom.

Unit cell a=4.9388 b=4.9388 c=4.9388 alpha=60.00 beta=60.00 gamma=60.00
Element x y z (fractional)
Ru (0.2500, 0.2500, 0.2500)
Tb (0.5000, 0.5000, 0.5000)
Au (0.7500, 0.7500, 0.7500)
Er (0.0000, 0.0000, 0.0000)


Which is most stable? The ranking, best first, is model i, model ii.


Model i:
Here is a relaxed structure of YErRuAu from the Alexandria database. Energies are from PBE.

Summary:
The value obtained for the volume is 21.331 A^3/atom. The symmetry is P4mm (99). For the density of states at the Fermi level, the calculation gives 0.673 states/eV per atom. As for the magnetization: 0.00 μB per atom.

Unit cell a=3.4311 b=3.4311 c=7.2478 alpha=90.00 beta=90.00 gamma=90.00
Element x y z (fractional)
Y (0.0000, 0.0000, 0.8370)
Er (0.0000, 0.0000, 0.3764)
Ru (0.5000, 0.5000, 0.6014)
Au (0.5000, 0.5000, 0.1131)


Model ii:
Here is a relaxed structure of YErRuAu from the Alexandria database. Energies are from PBE.

Summary:
The value obtained for the volume is 21.240 A^3/atom. The symmetry is F-43m (216). For the density of states at the Fermi level, the calculation gives 0.513 states/eV per atom. As for the magnetization: 0.00 μB per atom.

Unit cell a=4.9345 b=4.9345 c=4.9345 alpha=60.00 beta=60.00 gamma=60.00
Element x y z (fractional)
Y (0.7500, 0.7500, 0.7500)
Ru (0.5000, 0.5000, 0.5000)
Au (0.0000, 0.0000, 0.0000)
Er (0.2500, 0.2500, 0.2500)


Which is most stable? The ranking, best first, is model i, model ii.


Model i:
Here is a relaxed structure of ErSc2Au from the Alexandria database. Energies are from PBE.

Summary:
The value obtained for the volume is 22.346 A^3/atom. The symmetry is Fm-3m (225). For the density of states at the Fermi level, the calculation gives 1.653 states/eV per atom. As for the magnetization: 0.15 μB per atom.

Unit cell a=5.0182 b=5.0182 c=5.0192 alpha=60.01 beta=60.01 gamma=60.00
Site moments in Bohr magnetons follow the coordinates.
Element x y z (fractional)
Sc (0.2499, 0.2499, 0.2503)  0.14
Sc (0.7501, 0.7501, 0.7497)  0.14
Au (0.5000, 0.5000, 0.5000)  0.01
Er (0.0000, 0.0000, 0.0000)  0.19


Model ii:
Here is a relaxed structure of ErSc2Au from the Alexandria database. Energies are from PBE.

Summary:
The value obtained for the volume is 24.458 A^3/atom. The symmetry is Cmcm (63). For the density of states at the Fermi level, the calculation gives 1.497 states/eV per atom. As for the magnetization: 0.00 μB per atom.

Unit cell a=4.6993 b=5.9929 c=7.5518 alpha=90.00 beta=90.00 gamma=113.07
Element x y z (fractional)
Er (0.9455, 0.8911, 0.2500)
Er (0.0545, 0.1089, 0.7500)
Sc (0.3525, 0.7052, 0.5444)
Sc (0.6475, 0.2948, 0.4556)
Sc (0.3525, 0.7052, 0.9556)
Sc (0.6475, 0.2948, 0.0444)
Au (0.7898, 0.5797, 0.7500)
Au (0.2102, 0.4203, 0.2500)


Model iii:
Here is a relaxed structure of ErSc2Au from the Alexandria database. Energies are from PBE.

Summary:
The value obtained for the volume is 25.066 A^3/atom. The symmetry is R3m (160). For the density of states at the Fermi level, the calculation gives 1.376 states/eV per atom. As for the magnetization: 0.12 μB per atom.

Unit cell a=3.5128 b=3.5128 c=9.5987 alpha=79.46 beta=79.46 gamma=60.00
Site moments in Bohr magnetons follow the coordinates.
Element x y z (fractional)
Er (0.5013, 0.5013, 0.4962)  0.18
Sc (0.0700, 0.0700, 0.7901)  0.11
Sc (0.2630, 0.2630, 0.2111)  0.03
Au (0.6658, 0.6658, 0.0027)  0.01


Which is most stable? The ranking, best first, is model ii, model iii, model i.